5
Lattice="3.4372 0.0000 0.0000 0.0000 3.4372 0.0000 0.0000 0.0000 3.4372" Properties=species:S:1:pos:R:3 comment="AlBH3 | the Alexandria database | meta-GGA SCAN | single point on PBEsol structure" total_magnetization_mub_per_fu=0.00 pbc="T T T"
Al 0.0000 0.0000 0.0000
B 1.7186 1.7186 1.7186
H 0.0000 0.0000 1.7186
H 0.0000 1.7186 0.0000
H 1.7186 0.0000 0.0000

6
Lattice="0.0000 3.6453 3.6453 3.6453 0.0000 3.6453 3.6453 3.6453 0.0000" Properties=species:S:1:pos:R:3 comment="BaMn4P | the Alexandria database | meta-GGA SCAN | single point on PBEsol structure" total_magnetization_mub_per_fu=13.40 formation_energy_ev_per_atom=0.56 pbc="T T T"
Ba 0.0000 0.0000 0.0000
Mn 4.5348 2.7557 2.7557
Mn 2.7557 4.5348 2.7557
Mn 2.7557 2.7557 4.5348
Mn 4.5348 4.5348 4.5348
P 1.8226 1.8226 1.8226

| no. | E_tot (eV/atom) |
| --- | --- |
| 1 | -4.058 |
| 2 | -19.931 |